{"formula": "La2PdSI", "functional": "PBE", "state": "relaxed", "lattice": [[5.5041, 0.0000, 0.0000], [0.0000, 5.5041, 0.0000], [0.0000, 0.0000, 5.4113]], "species": ["La", "La", "Pd", "S", "I"], "frac_coords": [[0.0000, 0.5000, 0.0000], [0.5000, 0.0000, 0.0000], [0.0000, 0.0000, 0.5000], [0.5000, 0.5000, 0.0000], [0.5000, 0.5000, 0.5000]], "dos_ef_per_ev_atom": 0.803, "e_form_raw_ev_per_atom": -0.372}



{"formula": "CuGePtAu", "functional": "PBE", "state": "relaxed", "lattice": [[0.0000, 3.1476, 3.1476], [3.1476, 0.0000, 3.1476], [3.1476, 3.1476, 0.0000]], "species": ["Cu", "Ge", "Pt", "Au"], "frac_coords": [[0.0000, 0.0000, 0.0000], [0.5000, 0.5000, 0.5000], [0.7500, 0.7500, 0.7500], [0.2500, 0.2500, 0.2500]], "ef_ev_per_fu": -0.2, "dos_ef_per_ev_atom": 0.666}



no.,calculated density (Mg/m³)
1,5.502
2,14.064